1.
ReHgIr2C | PBE | relaxed

Space-group type: P4/mmm
N(E_F) (states/eV per cell): 3.8
E_tot (eV/f.u.): -36.54

```
ReHgIr2C
1.0
4.164 0.000 0.000
0.000 4.164 0.000
0.000 0.000 4.176
Re Hg Ir C
1 1 2 1
direct
0.000 0.000 0.000 Re
0.500 0.500 0.000 Hg
0.000 0.500 0.500 Ir
0.500 0.000 0.500 Ir
0.000 0.000 0.500 C
```

=====

2.
Sc2HgIrC | PBE | relaxed

Space-group type: P4/mmm
N(E_F) (states/eV per cell): 2.9
E_tot (eV/f.u.): -33.79

```
Sc2HgIrC
1.0
4.653 0.000 0.000
0.000 4.653 0.000
0.000 0.000 3.924
Sc Hg Ir C
2 1 1 1
direct
0.000 0.500 0.000 Sc
0.500 0.000 0.000 Sc
0.000 0.000 0.500 Hg
0.500 0.500 0.500 Ir
0.500 0.500 0.000 C
```

=====

3.
Sm2HgIrC | PBE | relaxed

Space-group type: P4/mmm
N(E_F) (states/eV per cell): 2.5
E_tot (eV/f.u.): -30.36

```
Sm2HgIrC
1.0
5.236 0.000 0.000
0.000 5.236 0.000
0.000 0.000 3.893
Sm Hg Ir C
2 1 1 1
direct
0.000 0.500 0.000 Sm
0.500 0.000 0.000 Sm
0.000 0.000 0.500 Hg
0.500 0.500 0.500 Ir
0.500 0.500 0.000 C
```

=====

4.
Sr2HgIrC | PBE | relaxed

Space-group type: P4/mmm
N(E_F) (states/eV per cell): 2.6
E_tot (eV/f.u.): -23.31

```
Sr2HgIrC
1.0
5.577 0.000 0.000
0.000 5.577 0.000
0.000 0.000 3.895
Sr Hg Ir C
2 1 1 1
direct
0.000 0.500 0.000 Sr
0.500 0.000 0.000 Sr
0.000 0.000 0.500 Hg
0.500 0.500 0.500 Ir
0.500 0.500 0.000 C
```

=====

5.
Tb2HgIrC | PBE | relaxed

Space-group type: P4/mmm
N(E_F) (states/eV per cell): 2.2
E_tot (eV/f.u.): -30.40

```
Tb2HgIrC
1.0
5.107 0.000 0.000
0.000 5.107 0.000
0.000 0.000 3.894
Tb Hg Ir C
2 1 1 1
direct
0.000 0.500 0.000 Tb
0.500 0.000 0.000 Tb
0.000 0.000 0.500 Hg
0.500 0.500 0.500 Ir
0.500 0.500 0.000 C
```

=====

6.
Th6Hg3IrC2 | PBE | relaxed

Space-group type: C2/m
N(E_F) (states/eV per cell): 11.5
E_tot (eV/f.u.): -77.10

```
Th6Hg3IrC2
1.0
9.729 -1.918 0.000
9.729 1.918 0.000
-3.930 0.000 8.440
Th Hg Ir C
6 3 1 2
direct
0.023 0.023 0.238 Th
0.316 0.316 0.451 Th
0.337 0.337 0.851 Th
0.663 0.663 0.149 Th
0.684 0.684 0.549 Th
0.977 0.977 0.762 Th
0.162 0.162 0.841 Hg
0.500 0.500 0.500 Hg
0.838 0.838 0.159 Hg
0.500 0.500 0.000 Ir
0.169 0.169 0.340 C
0.831 0.831 0.660 C
```

=====

7.
Th6HgIr2C3 | PBE | relaxed

Space-group type: C2/m
N(E_F) (states/eV per cell): 8.8
E_tot (eV/f.u.): -94.74

```
Th6HgIr2C3
1.0
9.256 -1.924 0.000
9.256 1.924 0.000
-3.226 0.000 7.577
Th Hg Ir C
6 1 2 3
direct
0.026 0.026 0.219 Th
0.320 0.320 0.442 Th
0.333 0.333 0.933 Th
0.667 0.667 0.067 Th
0.680 0.680 0.558 Th
0.974 0.974 0.781 Th
0.500 0.500 0.500 Hg
0.151 0.151 0.789 Ir
0.849 0.849 0.211 Ir
0.173 0.173 0.315 C
0.500 0.500 0.000 C
0.827 0.827 0.685 C
```

=====

8.
KHgC2 | PBE | relaxed

Space-group type: Fddd
N(E_F) (states/eV per cell): 3.4
E_tot (eV/f.u.): -19.25

```
KHgC2
1.0
0.000 4.511 17.500
2.560 0.000 17.500
2.560 4.511 0.000
K Hg C
4 4 8
direct
0.058 0.058 0.192 K
0.192 0.192 0.058 K
0.808 0.808 0.942 K
0.942 0.942 0.808 K
0.209 0.541 0.209 Hg
0.459 0.791 0.459 Hg
0.541 0.209 0.541 Hg
0.791 0.459 0.791 Hg
0.125 0.375 0.500 C
0.375 0.125 0.500 C
0.500 0.500 0.125 C
0.500 0.500 0.375 C
0.500 0.500 0.625 C
0.500 0.500 0.875 C
0.625 0.875 0.500 C
0.875 0.625 0.500 C
```